[1]
Ho4Er2In PBE-GGA relaxed; distance to the lowest polymorph of the same formula = 0 meV/atom; density of states at the Fermi level = 9.94 states/eV/f.u.; space-group type = Fdd2
1.0
0.000 10.850 3.909
5.053 0.000 3.909
5.053 10.850 0.000
Ho Er In
8 4 2
direct
0.002 0.158 0.765
0.158 0.002 0.075
0.175 0.485 0.092
0.408 0.592 0.430
0.485 0.175 0.248
0.592 0.408 0.570
0.680 0.820 0.658
0.820 0.680 0.842
0.220 0.625 0.304
0.399 0.946 0.625
0.625 0.220 0.851
0.946 0.399 0.030
0.095 0.095 0.405
0.845 0.845 0.155

***

[2]
Ho4ErIn5 PBE-GGA relaxed; density of states at the Fermi level = 5.84 states/eV/f.u.; space-group type = P4/mmm
1.0
3.719 0.000 0.000
0.000 3.719 0.000
0.000 0.000 18.969
Ho Er In
4 1 5
direct
0.000 0.000 0.100
0.000 0.000 0.301
0.000 0.000 0.699
0.000 0.000 0.900
0.000 0.000 0.500
0.500 0.500 0.000
0.500 0.500 0.201
0.500 0.500 0.401
0.500 0.500 0.599
0.500 0.500 0.799

***

[3]
HoEr6In PBE-GGA relaxed; distance to the lowest polymorph of the same formula = 166 meV/atom; density of states at the Fermi level = 9.02 states/eV/f.u.; space-group type = P-31m
1.0
6.524 0.000 0.000
-3.262 5.650 0.000
0.000 0.000 6.469
Ho Er In
1 6 1
direct
0.000 0.000 0.000
0.000 0.434 0.251
0.000 0.566 0.749
0.434 0.000 0.251
0.434 0.434 0.749
0.566 0.000 0.749
0.566 0.566 0.251
0.000 0.000 0.500

***

[4]
Ho3ErIn3 PBE-GGA relaxed; distance to the lowest polymorph of the same formula = 20 meV/atom; density of states at the Fermi level = 9.34 states/eV/f.u.; space-group type = P2_13
1.0
9.267 0.000 0.000
0.000 9.267 0.000
0.000 0.000 9.267
Ho Er In
12 4 12
direct
0.073 0.427 0.573
0.175 0.175 0.175
0.175 0.825 0.325
0.325 0.175 0.825
0.325 0.825 0.675
0.427 0.573 0.073
0.573 0.073 0.427
0.675 0.325 0.825
0.675 0.675 0.675
0.825 0.325 0.175
0.825 0.675 0.325
0.927 0.927 0.927
0.076 0.576 0.924
0.424 0.424 0.424
0.576 0.924 0.076
0.924 0.076 0.576
0.000 0.252 0.874
0.000 0.752 0.626
0.126 0.500 0.248
0.248 0.126 0.500
0.252 0.874 0.000
0.374 0.500 0.748
0.500 0.248 0.126
0.500 0.748 0.374
0.626 0.000 0.752
0.748 0.374 0.500
0.752 0.626 0.000
0.874 0.000 0.252

***

[5]
Ho12Er2In PBE-GGA relaxed; density of states at the Fermi level = 20.98 states/eV/f.u.; space-group type = P2/m
1.0
3.543 0.000 0.000
0.000 5.566 0.000
-0.351 0.000 23.532
Ho Er In
12 2 1
direct
0.201 0.000 0.126
0.229 0.500 0.196
0.234 0.500 0.326
0.242 0.000 0.423
0.256 0.500 0.556
0.273 0.500 0.932
0.727 0.500 0.068
0.744 0.500 0.444
0.758 0.000 0.577
0.766 0.500 0.674
0.771 0.500 0.804
0.799 0.000 0.874
0.272 0.000 0.734
0.728 0.000 0.266
0.500 0.000 0.000

***

[6]
HoEr4In PBE-GGA relaxed; distance to the lowest polymorph of the same formula = 0 meV/atom; density of states at the Fermi level = 5.77 states/eV/f.u.; space-group type = P4/mmm
1.0
3.532 0.000 0.000
0.000 3.532 0.000
0.000 0.000 14.118
Ho Er In
1 4 1
direct
0.000 0.000 0.000
0.000 0.000 0.351
0.000 0.000 0.649
0.500 0.500 0.176
0.500 0.500 0.824
0.500 0.500 0.500

***

[7]
HoEr6In PBE-GGA relaxed; distance to the lowest polymorph of the same formula = 0 meV/atom; density of states at the Fermi level = 8.40 states/eV/f.u.; space-group type = P4/mmm
1.0
4.866 0.000 0.000
0.000 4.866 0.000
0.000 0.000 9.887
Ho Er In
1 6 1
direct
0.000 0.000 0.000
0.000 0.500 0.255
0.000 0.500 0.745
0.500 0.000 0.255
0.500 0.000 0.745
0.500 0.500 0.000
0.500 0.500 0.500
0.000 0.000 0.500

***

[8]
HoEr5In6 PBE-GGA relaxed; density of states at the Fermi level = 5.55 states/eV/f.u.; space-group type = Cmmm
1.0
2.644 -7.934 0.000
2.644 7.934 0.000
0.000 0.000 7.437
Ho Er In
1 5 6
direct
0.000 0.000 0.000
0.000 0.000 0.500
0.333 0.667 0.000
0.334 0.666 0.500
0.666 0.334 0.500
0.667 0.333 0.000
0.167 0.833 0.251
0.167 0.833 0.749
0.500 0.500 0.250
0.500 0.500 0.750
0.833 0.167 0.251
0.833 0.167 0.749

***

[9]
HoEr7In4 PBE-GGA relaxed; density of states at the Fermi level = 12.60 states/eV/f.u.; space-group type = C2/m
1.0
7.218 -2.813 0.000
7.218 2.813 0.000
-5.713 0.000 8.567
Ho Er In
1 7 4
direct
0.000 0.000 0.000
0.064 0.064 0.399
0.211 0.211 0.878
0.276 0.276 0.333
0.500 0.500 0.000
0.724 0.724 0.667
0.789 0.789 0.122
0.936 0.936 0.601
0.319 0.319 0.664
0.440 0.440 0.246
0.560 0.560 0.754
0.681 0.681 0.336

***

[10]
HoErIn2 PBE-GGA relaxed; density of states at the Fermi level = 2.33 states/eV/f.u.; space-group type = P4/mmm
1.0
3.736 0.000 0.000
0.000 3.736 0.000
0.000 0.000 7.493
Ho Er In
1 1 2
direct
0.000 0.000 0.000
0.000 0.000 0.500
0.500 0.500 0.251
0.500 0.500 0.749

***

[11]
Ho3Er5In2 PBE-GGA relaxed; density of states at the Fermi level = 12.42 states/eV/f.u.; space-group type = Ibam
1.0
-6.312 7.777 3.141
6.312 -7.777 3.141
6.312 7.777 -3.141
Ho Er In
6 10 4
direct
0.229 0.111 0.340
0.250 0.250 0.000
0.271 0.611 0.881
0.729 0.389 0.119
0.750 0.750 0.000
0.771 0.889 0.660
0.164 0.375 0.539
0.250 0.501 0.251
0.250 0.750 0.500
0.250 0.999 0.749
0.336 0.875 0.211
0.664 0.125 0.789
0.750 0.001 0.251
0.750 0.250 0.500
0.750 0.499 0.749
0.836 0.625 0.461
0.147 0.864 0.011
0.353 0.364 0.717
0.647 0.636 0.283
0.853 0.136 0.989

***

[12]
Ho12Er3In PBE-GGA relaxed; density of states at the Fermi level = 19.20 states/eV/f.u.; space-group type = P4/mmm
1.0
4.922 0.000 0.000
0.000 4.922 0.000
0.000 0.000 19.953
Ho Er In
12 3 1
direct
0.000 0.000 0.000
0.000 0.000 0.245
0.000 0.000 0.500
0.000 0.000 0.755
0.000 0.500 0.122
0.000 0.500 0.374
0.000 0.500 0.626
0.000 0.500 0.878
0.500 0.000 0.122
0.500 0.000 0.374
0.500 0.000 0.626
0.500 0.000 0.878
0.500 0.500 0.249
0.500 0.500 0.500
0.500 0.500 0.751
0.500 0.500 0.000

***

[13]
Ho5Er2In2 PBE-GGA relaxed; density of states at the Fermi level = 10.20 states/eV/f.u.; space-group type = Ima2
1.0
-7.895 5.215 3.252
7.895 -5.215 3.252
7.895 5.215 -3.252
Ho Er In
10 4 4
direct
0.102 0.242 0.360
0.244 0.055 0.300
0.244 0.445 0.689
0.336 0.792 0.846
0.336 0.991 0.044
0.756 0.555 0.311
0.756 0.945 0.700
0.882 0.742 0.640
0.947 0.292 0.956
0.947 0.491 0.154
0.297 0.297 0.000
0.297 0.797 0.500
0.467 0.234 0.733
0.500 0.734 0.267
0.734 0.173 0.383
0.734 0.850 0.061
0.789 0.350 0.617
0.789 0.673 0.939

***

[14]
Ho3Er3In2 PBE-GGA relaxed; distance to the lowest polymorph of the same formula = 0 meV/atom; density of states at the Fermi level = 10.66 states/eV/f.u.; space-group type = Pmmm
1.0
4.810 0.000 0.000
0.000 4.812 0.000
0.000 0.000 9.626
Ho Er In
3 3 2
direct
0.000 0.000 0.000
0.000 0.000 0.500
0.500 0.500 0.000
0.000 0.500 0.250
0.000 0.500 0.750
0.500 0.500 0.500
0.500 0.000 0.250
0.500 0.000 0.750

***

[15]
HoEr6In5 PBE-GGA relaxed; density of states at the Fermi level = 11.77 states/eV/f.u.; space-group type = Immm
1.0
-2.461 4.388 7.446
2.461 -4.388 7.446
2.461 4.388 -7.446
Ho Er In
1 6 5
direct
0.000 0.000 0.000
0.093 0.830 0.263
0.272 0.500 0.772
0.433 0.170 0.263
0.567 0.830 0.737
0.728 0.500 0.228
0.907 0.170 0.737
0.151 0.651 0.500
0.322 0.322 0.000
0.500 0.000 0.500
0.678 0.678 0.000
0.849 0.349 0.500

***

[16]
Ho9Er2In PBE-GGA relaxed; density of states at the Fermi level = 13.99 states/eV/f.u.; space-group type = P4/mmm
1.0
4.908 0.000 0.000
0.000 4.908 0.000
0.000 0.000 14.956
Ho Er In
9 2 1
direct
0.000 0.000 0.000
0.000 0.000 0.329
0.000 0.000 0.671
0.000 0.500 0.162
0.000 0.500 0.500
0.000 0.500 0.838
0.500 0.000 0.162
0.500 0.000 0.500
0.500 0.000 0.838
0.500 0.500 0.333
0.500 0.500 0.667
0.500 0.500 0.000

***

[17]
Ho2Er5In4 PBE-GGA relaxed; distance to the lowest polymorph of the same formula = 0 meV/atom; density of states at the Fermi level = 11.87 states/eV/f.u.; space-group type = P2/m
1.0
8.546 0.000 0.000
0.000 3.403 0.000
-1.147 0.000 10.398
Ho Er In
2 5 4
direct
0.085 0.000 0.140
0.915 0.000 0.860
0.165 0.000 0.646
0.465 0.000 0.169
0.500 0.000 0.500
0.535 0.000 0.831
0.835 0.000 0.354
0.198 0.500 0.385
0.248 0.500 0.925
0.752 0.500 0.075
0.802 0.500 0.615

***

[18]
Ho3Er4In PBE-GGA relaxed; distance to the lowest polymorph of the same formula = 0 meV/atom; density of states at the Fermi level = 10.16 states/eV/f.u.; space-group type = Pmn2_1
1.0
11.102 0.000 0.000
0.000 6.959 0.000
0.000 0.000 6.109
Ho Er In
6 8 2
direct
0.000 0.127 0.000
0.243 0.383 0.195
0.257 0.617 0.695
0.500 0.873 0.500
0.743 0.617 0.695
0.757 0.383 0.195
0.000 0.371 0.529
0.000 0.870 0.527
0.240 0.874 0.175
0.260 0.126 0.675
0.500 0.130 0.027
0.500 0.629 0.029
0.740 0.126 0.675
0.760 0.874 0.175
0.000 0.624 0.017
0.500 0.376 0.517

***

[19]
Ho2ErIn2 PBE-GGA relaxed; distance to the lowest polymorph of the same formula = 34 meV/atom; density of states at the Fermi level = 5.95 states/eV/f.u.; space-group type = Immm
1.0
-2.430 3.381 4.314
2.430 -3.381 4.314
2.430 3.381 -4.314
Ho Er In
2 1 2
direct
0.194 0.194 0.000
0.806 0.806 0.000
0.500 0.000 0.500
0.214 0.500 0.714
0.786 0.500 0.286

***

[20]
Ho4Er2In PBE-GGA relaxed; distance to the lowest polymorph of the same formula = 446 meV/atom; density of states at the Fermi level = 12.03 states/eV/f.u.; space-group type = R-3m
1.0
2.345 1.354 12.679
-2.345 1.354 12.679
0.000 -2.708 12.679
Ho Er In
4 2 1
direct
0.089 0.089 0.089
0.297 0.297 0.297
0.703 0.703 0.703
0.911 0.911 0.911
0.192 0.192 0.192
0.808 0.808 0.808
0.000 0.000 0.000

***

DFT formation energy for every record listed, in sequence, given in kJ/mol of formula units: -26; -435; 39; -203; 89; -87; -89; -513; -83; -173; 108; -70; -23; -203; -430; -79; -240; -84; -163; 276.